Computed, not measured: crystalline HgBHBr2 at its relaxed geometry at the PBE level of DFT.

Output
E (eV for the cell shown): -9.29
Space-group type: P4/mmm
M_tot (μB per cell): 0.00
Density (kg/m3): 5211

Geometry as POSCAR:
```
HgBHBr2
1.0
5.713 0.000 0.000
0.000 3.634 0.000
0.000 0.000 5.713
Br Hg H B
2 1 1 1
Cartesian
0.000 0.000 2.856
2.856 0.000 0.000
0.000 0.000 0.000
0.000 1.817 0.000
2.856 1.817 2.856
```